Entry 1:
! Pa3BiH3 PBE-GGA optimized geometry; values from VASP
&SYSTEM
  ibrav = 0, nat = 14, ntyp = 3
/
ATOMIC_SPECIES
H 1.01 H.upf
Pa 231.04 Pa.upf
Bi 208.98 Bi.upf
ATOMIC_POSITIONS angstrom
H -1.211 2.461 2.108
Pa -2.532 3.948 3.018
H -1.048 -1.201 3.070
Bi -3.799 0.801 3.694
H -0.829 0.746 5.465
Pa -2.588 -1.660 1.586
Bi 0.000 0.000 0.000
H -4.597 -2.233 2.235
Pa -2.751 2.002 0.623
Pa -5.449 -0.631 1.012
Pa -0.360 0.859 3.331
H -3.440 -0.059 0.362
Pa -1.517 -1.315 5.204
H -4.072 3.489 1.534
CELL_PARAMETERS angstrom
-5.722 2.057 -1.148
-2.315 -4.348 3.745
0.438 3.893 4.790
! M_tot, μB per atom: 0.119
! VASP energy, eV/cell: -87.69
! Density of states at the Fermi level, states/eV per atom: 1.57
! Volume, Å³/cell: 236.9

Entry 2:
! BaMoCl2 PBE-GGA optimized geometry; values from VASP
&SYSTEM
  ibrav = 0, nat = 4, ntyp = 3
/
ATOMIC_SPECIES
Cl 35.45 Cl.upf
Mo 95.94 Mo.upf
Ba 137.33 Ba.upf
ATOMIC_POSITIONS angstrom
Cl 0.000 0.000 0.056
Cl 1.592 2.048 2.464
Mo 0.000 0.000 2.771
Ba 1.592 2.048 5.516
CELL_PARAMETERS angstrom
4.177 0.038 0.000
-0.994 4.058 0.000
0.000 0.000 7.204
! Formation energy (no corrections), meV/atom: -353
! M_tot, μB per atom: 1.080
! VASP energy, eV/cell: -17.86
! Density of states at the Fermi level, states/eV per atom: 0.65
! Volume, Å³/cell: 122.4

no.,mass density (g cm⁻³)
1,12.69
2,4.13